Here is an optimized crystal structure of Pt3Rh5 from Alexandria via LeMat-Bulk. Energies are from GGA-PBE.

Cell and atoms, written as POSCAR:
```
Pt3Rh5
1.0
5.523 -0.003 0.000
0.000 5.523 0.000
0.000 0.000 3.864
Pt Rh
3 5
Direct
0.500 0.500 0.000
0.248 0.248 0.500
0.752 0.752 0.500
0.000 0.000 0.000
0.000 0.500 0.000
0.500 0.000 0.000
0.752 0.248 0.500
0.248 0.752 0.500
```

Output
Space-group type: Cmmm (65)
Crystal system: orthorhombic
E_tot, eV per formula unit: -54.97
ΔE_f, meV/atom: -11
Polymorph energy (0 for the lowest one), meV/atom: 8

***

Here is an optimized crystal structure of Pt3Rh from Alexandria via LeMat-Bulk. Energies are from GGA-PBE.

Cell and atoms, written as POSCAR:
```
Pt3Rh
1.0
2.779 0.000 0.000
0.000 2.779 0.000
0.000 0.000 7.919
Rh Pt
1 3
Direct
0.500 0.500 0.250
0.000 0.000 0.007
0.000 0.000 0.493
0.500 0.500 0.750
```

Output
Space-group type: P4/mmm (123)
Crystal system: tetragonal
E_tot, eV per formula unit: -25.57
ΔE_f, meV/atom: -24

***

Here is an optimized crystal structure of Pt5Rh4 from Alexandria via LeMat-Bulk. Energies are from GGA-PBE.

Cell and atoms, written as POSCAR:
```
Pt5Rh4
1.0
7.732 0.000 0.000
3.866 6.696 0.000
0.000 0.000 5.352
Rh Pt
8 10
Direct
0.000 0.000 0.000
0.000 0.000 0.500
0.649 0.351 0.250
0.000 0.649 0.250
0.351 0.000 0.250
0.351 0.649 0.750
0.000 0.351 0.750
0.649 0.000 0.750
0.313 0.687 0.250
0.000 0.313 0.250
0.687 0.000 0.250
0.687 0.313 0.750
0.000 0.687 0.750
0.313 0.000 0.750
0.333 0.333 0.000
0.667 0.667 0.500
0.667 0.667 0.000
0.333 0.333 0.500
```

Output
Space-group type: P6_3/mcm (193)
Crystal system: hexagonal
E_tot, eV per formula unit: -58.06
ΔE_f, meV/atom: 172
Polymorph energy (0 for the lowest one), meV/atom: 194

***

Question: Which value of ΔE_f does entry 3 give?
Answer: 172 meV/atom

***

Question: E_tot of number 3 (Pt5Rh4)?
Answer: -58.06 eV per formula unit